Record 1
Material: Na2Pa2CrSe6
Method: DFT, PBE
State: relaxed

Results
The calculation puts the size of the total moment at 6.0 μB per formula unit. The value obtained for the formation energy (no corrections) is -1.132 eV/atom. The calculation puts the density at 5.67 g/cm3.

Cell lengths 7.0008, 12.1647, 7.4601 Å; angles 90.00, 107.59, 90.00 degrees
With the nearest neighbours (Å) after each atom.
Space group C2/m (No. 12)
Unique sites:
Na (0.0000, 0.1659, 0.0000) [4 per cell]  6 Se 3.02-3.08
Pa (0.0000, 0.3371, 0.5000) [4 per cell]  6 Se 2.82-2.86
Cr (0.0000, 0.0000, 0.5000) [2 per cell]  6 Se 2.71-2.82
Se (0.2379, 0.1666, 0.7224) [8 per cell]  2 Pa 2.82-2.86, 1 Cr 2.82, 2 Na 3.02-3.08
Se (0.2437, 0.0000, 0.2780) [4 per cell]  1 Cr 2.71, 2 Pa 2.84, 2 Na 3.02

Record 2
Material: Co2RhAuN
Method: DFT, PBE
State: relaxed

Results
The calculation puts the size of the total moment at 3.5 μB per formula unit. The value obtained for the formation energy (no corrections) is 0.139 eV/atom. The calculation puts the density at 11.68 g/cm3.

Cell lengths 3.8769, 3.8769, 4.0843 Å; angles 90.00, 90.00, 90.00 degrees
With the nearest neighbours (Å) after each atom.
Space group P4/mmm (No. 123)
Unique sites:
Co (0.0000, 0.5000, 0.0000) [2 per cell]  2 N 1.94
Rh (0.0000, 0.0000, 0.5000) [1 per cell]  2 N 2.04
Au (0.5000, 0.5000, 0.5000) [1 per cell]  4 Rh 2.74, 8 Co 2.82
N (0.0000, 0.0000, 0.0000) [1 per cell]  4 Co 1.94, 2 Rh 2.04

Record 3
Material: Ca2AgPBr
Method: DFT, PBE
State: relaxed

Results
The calculation puts the size of the total moment at 0.0 μB per formula unit. The value obtained for the formation energy (no corrections) is -0.786 eV/atom. The calculation puts the density at 3.37 g/cm3.

Cell lengths 5.5602, 5.5602, 4.7703 Å; angles 90.00, 90.00, 90.00 degrees
With the nearest neighbours (Å) after each atom.
Space group P4/mmm (No. 123)
Unique sites:
Ca (0.0000, 0.5000, 0.0000) [2 per cell]  2 P 2.78
Ag (0.0000, 0.0000, 0.5000) [1 per cell]  2 P 2.39
P (0.0000, 0.0000, 0.0000) [1 per cell]  2 Ag 2.39
Br (0.5000, 0.5000, 0.5000) [1 per cell]  8 Ca 3.66, 4 Ag 3.93

Record 4
Material: CsSn2Au4
Method: DFT, PBE
State: relaxed

Results
The calculation puts the size of the total moment at 0.0 μB per formula unit. The value obtained for the formation energy from the elements is -0.220 eV/atom. The calculation puts the density at 10.50 g/cm3.

Cell lengths 9.4442, 9.4442, 8.2137 Å; angles 90.00, 90.00, 90.00 degrees
With the nearest neighbours (Å) after each atom.
Space group I4/mcm (No. 140)
Unique sites:
Cs (0.0000, 0.0000, 0.2500) [4 per cell]  8 Au 3.65
Sn (0.1357, 0.3643, 0.0000) [8 per cell]  6 Au 2.75-3.05
Au (0.1523, 0.3477, 0.3335) [16 per cell]  2 Au 2.74-2.95, 3 Sn 2.75-3.05

Record 5
Material: MgSc2Re2
Method: DFT, PBE
State: relaxed

Results
The calculation puts the size of the total moment at 0.0 μB per formula unit. The value obtained for the formation energy from the elements is 0.156 eV/atom. The calculation puts the density at 8.14 g/cm3.

Cell lengths 7.8904, 7.8904, 3.1873 Å; angles 90.00, 90.00, 90.00 degrees
With the nearest neighbours (Å) after each atom.
Space group P4/mbm (No. 127)
Unique sites:
Mg (0.0000, 0.0000, 0.0000) [2 per cell]  2 Mg 3.19, 4 Re 3.23, 8 Sc 3.29
Sc (0.1886, 0.3114, 0.5000) [4 per cell]  6 Re 2.82-2.88
Re (0.1035, 0.6035, 0.0000) [4 per cell]  1 Re 2.31

Record 6
Material: TlNiH2
Method: DFT, PBE
State: relaxed

Results
For the raw total energy, the calculation gives -3.466 eV/atom. The calculation puts the size of the total moment at 0.0 μB per formula unit. The calculation puts the density at 9.23 g/cm3.

Cell lengths 3.0080, 3.0080, 18.2573 Å; angles 90.00, 90.00, 120.00 degrees
With the nearest neighbours (Å) after each atom.
Space group R-3m (No. 166, hexagonal axes)
Unique sites:
Tl (0.0000, 0.0000, 0.0000) [3 per cell]  2 H 2.63
Ni (0.0000, 0.0000, 0.5000) [3 per cell]  6 H 1.78
H (0.0000, 0.0000, 0.1442) [6 per cell]  3 Ni 1.78, 3 H 1.92

Record 7
Material: TlPd4Au3
Method: DFT, PBE
State: relaxed

Results
The calculation puts the size of the total moment at 0.0 μB per formula unit. The value obtained for the formation energy from the elements is -0.138 eV/atom. The calculation puts the density at 14.71 g/cm3.

Cell lengths 9.4034, 6.1615, 4.7593 Å; angles 90.00, 90.00, 90.00 degrees
With the nearest neighbours (Å) after each atom.
Space group Pmma (No. 51)
Unique sites:
Tl (0.0000, 0.0000, 0.0000) [2 per cell]  8 Pd 2.84, 4 Au 3.08-3.13
Pd (0.0000, 0.2516, 0.5000) [4 per cell]  6 Au 2.83, 2 Tl 2.84, 4 Pd 3.06-3.10
Pd (0.2500, 0.2520, 0.0783) [4 per cell]  6 Au 2.79-2.89, 2 Tl 2.84, 4 Pd 3.06-3.11
Au (0.0000, 0.5000, 0.0000) [2 per cell]  8 Pd 2.83, 2 Tl 3.08, 2 Au 3.09
Au (0.2500, 0.0000, 0.5661) [2 per cell]  8 Pd 2.79-2.89, 2 Au 3.08
Au (0.2500, 0.5000, 0.5784) [2 per cell]  8 Pd 2.83, 4 Au 3.08-3.09

Record 8
Material: BiAsRhO5
Method: DFT, PBE
State: relaxed

Results
The calculation puts the size of the total moment at 1.0 μB per formula unit. The value obtained for the formation energy (no corrections) is -0.833 eV/atom. The calculation puts the density at 6.38 g/cm3.

Cell lengths 6.6345, 8.9972, 8.7073 Å; angles 90.00, 110.68, 90.00 degrees
With the nearest neighbours (Å) after each atom.
Space group C2/c (No. 15)
Unique sites:
Bi (0.0000, 0.0000, 0.0000) [4 per cell]  6 O 2.35-2.44
As (0.0000, 0.3223, 0.2500) [4 per cell]  4 O 1.72-1.76
Rh (0.0000, 0.3099, 0.7500) [4 per cell]  3 O 1.90-2.09
O (0.0000, 0.0991, 0.7500) [4 per cell]  1 Rh 1.90
O (0.1308, 0.4415, 0.4079) [8 per cell]  1 As 1.72
O (0.1670, 0.1948, 0.1984) [8 per cell]  1 As 1.76

Record 9
Material: RbPuScI6
Method: DFT, PBE
State: relaxed

Results
The calculation puts the size of the total moment at 6.0 μB per formula unit. The value obtained for the formation energy (no corrections) is -1.236 eV/atom. The calculation puts the density at 4.28 g/cm3.

Cell lengths 7.8279, 7.8279, 16.6117 Å; angles 90.00, 90.00, 120.00 degrees
With the nearest neighbours (Å) after each atom.
Space group P-31c (No. 163)
Unique sites:
Rb (0.0000, 0.0000, 0.0000) [2 per cell]  6 I 3.72
Pu (0.3333, 0.6667, 0.2500) [2 per cell]  6 I 3.17
Sc (0.3333, 0.6667, 0.7500) [2 per cell]  6 I 2.94
I (0.0230, 0.3737, 0.6449) [12 per cell]  1 Sc 2.94, 1 Pu 3.17

Record 10
Material: Tb3ScTl4
Method: DFT, PBE
State: relaxed

Results
The calculation puts the size of the total moment at 0.0 μB per formula unit. The value obtained for the formation energy from the elements is -0.334 eV/atom. The calculation puts the density at 10.49 g/cm3.

Cell lengths 3.7128, 3.7128, 15.3777 Å; angles 90.00, 90.00, 90.00 degrees
With the nearest neighbours (Å) after each atom.
Space group P4/mmm (No. 123)
Unique sites:
Tb (0.0000, 0.0000, 0.0000) [1 per cell]  8 Tl 3.30
Tb (0.0000, 0.0000, 0.2593) [2 per cell]  8 Tl 3.29
Sc (0.0000, 0.0000, 0.5000) [1 per cell]  8 Tl 3.14
Tl (0.5000, 0.5000, 0.1300) [2 per cell]  8 Tb 3.29-3.30
Tl (0.5000, 0.5000, 0.3880) [2 per cell]  4 Sc 3.14, 4 Tb 3.29, 1 Tl 3.44

Record 11
Material: Pm2ScWN5
Method: DFT, PBE
State: relaxed

Results
The calculation puts the size of the total moment at 0.0 μB per formula unit. The value obtained for the formation energy (no corrections) is -1.208 eV/atom. The calculation puts the density at 8.03 g/cm3.

Cell lengths 3.4236, 13.4556, 10.5777 Å; angles 90.00, 90.00, 90.00 degrees
With the nearest neighbours (Å) after each atom.
Space group Cmc2_1 (No. 36)
Unique sites:
Pm (0.0000, 0.1078, 0.0000) [4 per cell]  5 N 2.34-2.58
Pm (0.0000, 0.1534, 0.6081) [4 per cell]  5 N 2.40-2.57
Sc (0.0000, 0.2166, 0.3281) [4 per cell]  6 N 2.20-2.30
W (0.0000, 0.4730, 0.7670) [4 per cell]  4 N 1.86-2.05
N (0.0000, 0.0490, 0.3529) [4 per cell]  2 W 1.96
N (0.0000, 0.2802, 0.9731) [4 per cell]  2 Sc 2.30, 3 Pm 2.34-2.40
N (0.0000, 0.3254, 0.7005) [4 per cell]  1 W 2.11, 2 Sc 2.25
N (0.0000, 0.3801, 0.3182) [4 per cell]  1 W 2.05, 1 Sc 2.20
N (0.0000, 0.4888, 0.0977) [4 per cell]  1 W 1.86